## PmYTmMg (GGA-PBE)

Data for a relaxed structure of PmYTmMg.

Calculated values
- Spin magnetization: 0.0 μB per formula unit
- Distance to the lowest polymorph of the same formula: 53 meV/atom
- DOS at the Fermi energy: 4.8 states/eV/f.u.
- SG: F-43m (216)

```
PmYTmMg
1.0
-1.3369 -5.3638 0.1307
3.1364 -3.6967 -2.6594
3.1144 -3.5565 2.8682
Y Mg Tm Pm
1 1 1 1
direct
0.5000 0.5000 0.5000 Y
0.7500 0.7500 0.7500 Mg
0.2500 0.2500 0.2500 Tm
0.0000 0.0000 0.0000 Pm
```


## LaTm6Th2 (GGA-PBE)

Data for a relaxed structure of LaTm6Th2.

Calculated values
- Spin magnetization: 0.0 μB per formula unit
- Distance to the lowest polymorph of the same formula: 51 meV/atom
- DOS at the Fermi energy: 11.2 states/eV/f.u.
- SG: C2/c (15)

```
LaTm6Th2
1.0
6.4864 0.1295 -0.9681
-1.6307 9.2551 -1.2720
0.1510 0.3569 9.4754
La Tm Th
2 12 4
direct
0.2500 0.8827 0.1173 La
0.7500 0.1173 0.8827 La
0.5010 0.3426 0.7249 Tm
0.9990 0.2751 0.6574 Tm
0.4990 0.6574 0.2751 Tm
0.0010 0.7249 0.3426 Tm
0.7338 0.9411 0.5416 Tm
0.7662 0.4584 0.0589 Tm
0.2662 0.0589 0.4584 Tm
0.2338 0.5416 0.9411 Tm
0.3161 0.2242 0.0546 Tm
0.1839 0.9454 0.7758 Tm
0.6839 0.7758 0.9454 Tm
0.8161 0.0546 0.2242 Tm
0.1216 0.3924 0.3388 Th
0.3784 0.6612 0.6076 Th
0.8784 0.6076 0.6612 Th
0.6216 0.3388 0.3924 Th
```


## Cu2AsRh (GGA-PBE)

Data for a relaxed structure of Cu2AsRh.

Calculated values
- Spin magnetization: 0.0 μB per formula unit
- DOS at the Fermi energy: 2.4 states/eV/f.u.
- SG: P4/mmm (123)
- Final energy: -20.10 eV per formula unit

```
Cu2AsRh
1.0
-0.9162 2.7368 1.6578
-2.0826 -1.8192 1.8523
3.6726 -0.7974 3.3462
As Cu Rh
1 2 1
direct
0.5000 0.5000 0.7500 As
0.0000 0.0000 0.9995 Cu
0.0000 0.0000 0.5005 Cu
0.5000 0.5000 0.2500 Rh
```


## ScGe (GGA-PBE)

Data for a relaxed structure of ScGe.

Calculated values
- Spin magnetization: 0.0 μB per formula unit
- DOS at the Fermi energy: 2.3 states/eV/f.u.
- SG: I4/m (87)
- Final energy: -11.43 eV per formula unit

```
ScGe
1.0
9.3620 0.0000 0.0000
0.0000 9.3620 0.0000
0.0000 0.0000 5.3667
Sc Ge
8 8
direct
0.3633 0.8629 0.0000 Sc
0.6367 0.1371 0.0000 Sc
0.1371 0.3633 0.0000 Sc
0.8629 0.6367 0.0000 Sc
0.8633 0.3629 0.5000 Sc
0.1367 0.6371 0.5000 Sc
0.6371 0.8633 0.5000 Sc
0.3629 0.1367 0.5000 Sc
0.3411 0.1583 0.0000 Ge
0.6589 0.8417 0.0000 Ge
0.8417 0.3411 0.0000 Ge
0.1583 0.6589 0.0000 Ge
0.8411 0.6583 0.5000 Ge
0.1589 0.3417 0.5000 Ge
0.3417 0.8411 0.5000 Ge
0.6583 0.1589 0.5000 Ge
```


## SrAc2Ge2 (GGA-PBE)

Data for a relaxed structure of SrAc2Ge2.

Calculated values
- Spin magnetization: 0.0 μB per formula unit
- Distance to the lowest polymorph of the same formula: 0 meV/atom
- DOS at the Fermi energy: 2.3 states/eV/f.u.
- SG: P4/mbm (127)

```
SrAc2Ge2
1.0
-4.0965 0.3902 2.4103
-4.2187 -1.3421 -6.9526
0.1094 -8.1044 1.4981
Sr Ac Ge
2 4 4
direct
0.0000 0.0000 0.0000 Sr
0.0000 0.5000 0.5000 Sr
0.5000 0.1758 0.6758 Ac
0.5000 0.6758 0.8242 Ac
0.5000 0.8242 0.3242 Ac
0.5000 0.3242 0.1758 Ac
0.0000 0.3873 0.8873 Ge
0.0000 0.8873 0.6127 Ge
0.0000 0.6127 0.1127 Ge
0.0000 0.1127 0.3873 Ge
```


## PaTl3Ag2Te6 (GGA-PBE)

Data for a relaxed structure of PaTl3Ag2Te6.

Calculated values
- Formation energy without anion corrections: -0.34 eV per atom
- Spin magnetization: 0.0 μB per formula unit
- DOS at the Fermi energy: 6.0 states/eV/f.u.
- SG: C2/m (12)

```
PaTl3Ag2Te6
1.0
-4.1802 -5.4005 2.2591
3.8625 -1.7288 -5.8169
6.2565 -0.1138 6.1790
Pa Tl Ag Te
1 3 2 6
direct
0.0000 0.0000 0.0000 Pa
0.1502 0.8498 0.5000 Tl
0.8498 0.1502 0.5000 Tl
0.5000 0.5000 0.5000 Tl
0.3208 0.6792 0.0000 Ag
0.6792 0.3208 0.0000 Ag
0.9535 0.6119 0.7723 Te
0.7162 0.7162 0.1775 Te
0.0465 0.3881 0.2277 Te
0.6119 0.9535 0.7723 Te
0.2838 0.2838 0.8225 Te
0.3881 0.0465 0.2277 Te
```


## Er6Al3Cd (GGA-PBE)

Data for a relaxed structure of Er6Al3Cd.

Calculated values
- Spin magnetization: 0.0 μB per formula unit
- DOS at the Fermi energy: 8.9 states/eV/f.u.
- SG: P2_1/m (11)
- Final energy: -42.30 eV per formula unit

```
Er6Al3Cd
1.0
5.1110 0.0000 0.0000
0.0000 8.6419 -2.8395
0.0000 0.0523 11.2592
Er Al Cd
12 6 2
direct
0.2500 0.4557 0.0848 Er
0.7500 0.5443 0.9152 Er
0.2500 0.1312 0.1627 Er
0.7500 0.8688 0.8373 Er
0.2500 0.6560 0.6757 Er
0.7500 0.3440 0.3243 Er
0.2500 0.2628 0.5035 Er
0.7500 0.7372 0.4965 Er
0.2500 0.8245 0.2939 Er
0.7500 0.1755 0.7061 Er
0.2500 0.1028 0.8777 Er
0.7500 0.8972 0.1223 Er
0.2500 0.5314 0.3778 Al
0.7500 0.4686 0.6222 Al
0.2500 0.3847 0.7876 Al
0.7500 0.6153 0.2124 Al
0.2500 0.7748 0.9720 Al
0.7500 0.2252 0.0280 Al
0.2500 0.9576 0.5931 Cd
0.7500 0.0424 0.4069 Cd
```


## BeAg2Ir (GGA-PBE)

Data for a relaxed structure of BeAg2Ir.

Calculated values
- Spin magnetization: 0.0 μB per formula unit
- DOS at the Fermi energy: 2.9 states/eV/f.u.
- SG: Cmmm (65)
- Final energy: -16.86 eV per formula unit

```
BeAg2Ir
1.0
2.7269 0.0287 0.0000
-1.2371 2.4303 0.0000
0.0000 0.0000 8.8626
Be Ir Ag
1 1 2
direct
0.5000 0.5000 0.2500 Be
0.5000 0.5000 0.7500 Ir
0.0000 0.0000 0.0278 Ag
0.0000 0.0000 0.4722 Ag
```


## Lu2ScCd (GGA-PBE)

Data for a relaxed structure of Lu2ScCd.

Calculated values
- Spin magnetization: 0.0 μB per formula unit
- Distance to the lowest polymorph of the same formula: 48 meV/atom
- DOS at the Fermi energy: 4.7 states/eV/f.u.
- SG: P4/mmm (123)

```
Lu2ScCd
1.0
-0.7432 4.2356 -1.6664
-0.5327 -1.7914 -4.3157
-4.6109 -0.5030 0.7779
Sc Lu Cd
1 2 1
direct
0.5000 0.5000 0.5000 Sc
0.0000 0.0000 0.5000 Lu
0.0000 0.5000 0.0000 Lu
0.5000 0.0000 0.0000 Cd
```


## Sm12Tl6Cd (GGA-PBE)

Data for a relaxed structure of Sm12Tl6Cd.

Calculated values
- Spin magnetization: 0.0 μB per formula unit
- DOS at the Fermi energy: 24.0 states/eV/f.u.
- SG: R-3 (148)
- Final energy: -73.16 eV per formula unit

```
Sm12Tl6Cd
1.0
-2.1591 3.5660 8.0598
-7.6842 -2.9417 -3.8259
5.2287 -7.2542 1.5413
Sm Tl Cd
12 6 1
direct
0.9193 0.6698 0.5753 Sm
0.5753 0.9193 0.6698 Sm
0.6698 0.5753 0.9193 Sm
0.0807 0.3302 0.4247 Sm
0.4247 0.0807 0.3302 Sm
0.3302 0.4247 0.0807 Sm
0.0276 0.8887 0.3271 Sm
0.1113 0.6729 0.9724 Sm
0.6729 0.9724 0.1113 Sm
0.9724 0.1113 0.6729 Sm
0.8887 0.3271 0.0276 Sm
0.3271 0.0276 0.8887 Sm
0.6505 0.7754 0.3427 Tl
0.6573 0.3495 0.2246 Tl
0.2246 0.6573 0.3495 Tl
0.3495 0.2246 0.6573 Tl
0.3427 0.6505 0.7754 Tl
0.7754 0.3427 0.6505 Tl
0.0000 0.0000 0.0000 Cd
```


## PaZnCuO6 (GGA-PBE)

Data for a relaxed structure of PaZnCuO6.

Calculated values
- Formation energy without anion corrections: -1.59 eV per atom
- Spin magnetization: 0.0 μB per formula unit
- DOS at the Fermi energy: 4.1 states/eV/f.u.
- SG: P312 (149)

```
PaZnCuO6
1.0
4.7010 0.0000 0.0000
0.0000 5.1117 0.0000
0.0000 -2.5559 4.4269
Pa Zn Cu O
1 1 1 6
direct
0.0000 0.3333 0.6667 Pa
0.5000 0.6667 0.3333 Zn
0.5000 0.0000 0.0000 Cu
0.7325 0.6906 0.6870 O
0.7325 0.3130 0.0036 O
0.7325 0.9964 0.3094 O
0.2675 0.3130 0.3094 O
0.2675 0.6906 0.0036 O
0.2675 0.9964 0.6870 O
```